# 1
Computed, not measured: a relaxed structure of NiWSe2 at the PBE level of DFT.

a b c (Å): 4.4966 4.4966 4.4966
angles (deg): 60.00 60.00 60.00
Element x y z (fractional)
Ni 0.5000 0.5000 0.5000
Se 0.0000 0.0000 0.0000
W 0.2500 0.2500 0.2500
Se 0.7500 0.7500 0.7500

Properties
Its energy relative to the elements, uncorrected is 815 meV per atom. As for the energy above the most stable polymorph in this dataset: 967 meV per atom. As for the space group: F-43m, No. 216. The crystal system is cubic.

***

# 2
Computed, not measured: a relaxed structure of Ni2WSe at the PBE level of DFT.

a b c (Å): 5.7484 4.6261 2.8303
angles (deg): 89.97 60.54 118.08
Element x y z (fractional)
Ni 0.0000 0.0000 0.0000
W 0.5000 0.5000 0.0000
Ni 0.5000 0.0000 0.5000
Se 0.0000 0.5000 0.5000

Properties
Its energy relative to the elements, uncorrected is 312 meV per atom. As for the space group: Cmmm, No. 65. The crystal system is orthorhombic.

***

# 3
Computed, not measured: a relaxed structure of Ni2WSe at the PBE level of DFT.

a b c (Å): 8.2863 8.2863 8.2863
angles (deg): 19.56 19.56 19.56
Element x y z (fractional)
W 0.0000 0.0000 0.0000
Se 0.5000 0.5000 0.5000
Ni 0.7530 0.7530 0.7530
Ni 0.2470 0.2470 0.2470

Properties
Its energy relative to the elements, uncorrected is 230 meV per atom. As for the space group: R-3m, No. 166. The crystal system is trigonal.